Material: CsBaMoF6
Method: DFT, PBE+U
State: relaxed

Properties
total DFT energy (no corrections)	-5.43	eV per atom
M_tot	0.333	μB per atom

```
CsBaMoF6
1.0
-6.741 0.620 5.401
0.068 -7.972 1.001
6.824 4.245 1.087
F Mo Ba Cs
12 2 2 2
direct
0.462 0.598 0.262
0.199 0.402 0.738
0.126 0.876 0.252
0.567 0.817 0.134
0.199 0.836 0.738
0.462 0.164 0.262
0.801 0.164 0.262
0.801 0.598 0.262
0.538 0.402 0.738
0.433 0.183 0.866
0.538 0.836 0.738
0.874 0.124 0.748
0.500 0.500 0.000
0.500 0.000 0.000
0.000 0.000 0.500
0.500 0.000 0.500
0.849 0.599 0.698
0.151 0.401 0.302
```